(1)
The following is a PBE calculation of a geometry-optimized CdCuAg2Cl8 structure, from the Alexandria database.

The space group is I-4m2 (No. 119) and the conventional cell measures 7.945, 7.945 and 9.773 Å, with angles of 90.00, 90.00 and 90.00 degrees. The asymmetric unit holds Cd at (0.000, 0.000, 0.000), Cu at (0.000, 0.500, 0.750), Ag at (0.000, 0.000, 0.500), Ag at (0.000, 0.500, 0.250), Cl at (0.000, 0.218, 0.701) and Cl at (0.000, 0.305, 0.055).

The formation energy without anion corrections is -388 meV/atom. The energy is -2.5116 eV per atom. The theoretical density is 3.64 Mg/m³.

---

(2)
The following is a PBE calculation of a geometry-optimized AlTc2Ag structure, from the Alexandria database.

The space group is F-43m (No. 216) and the conventional cell measures 6.242, 6.242 and 6.242 Å, with angles of 90.00, 90.00 and 90.00 degrees. The asymmetric unit holds Al at (0.000, 0.000, 0.000), Tc at (0.000, 0.000, 0.500), Tc at (0.250, 0.250, 0.250) and Ag at (0.250, 0.250, 0.750).

The value obtained for the energy of formation is 137 meV/atom. The energy is -6.6946 eV per atom. The theoretical density is 9.04 Mg/m³.

---

What did the first record say?
The following is a PBE calculation of a geometry-optimized CdCuAg2Cl8 structure, from the Alexandria database.

The space group is I-4m2 (No. 119) and the conventional cell measures 7.945, 7.945 and 9.773 Å, with angles of 90.00, 90.00 and 90.00 degrees. The asymmetric unit holds Cd at (0.000, 0.000, 0.000), Cu at (0.000, 0.500, 0.750), Ag at (0.000, 0.000, 0.500), Ag at (0.000, 0.500, 0.250), Cl at (0.000, 0.218, 0.701) and Cl at (0.000, 0.305, 0.055).

The formation energy without anion corrections is -388 meV/atom. The energy is -2.5116 eV per atom. The theoretical density is 3.64 Mg/m³.

---

The highest theoretical density belongs to which entry?
AlTc2Ag

---

Number 2 is which compound?
AlTc2Ag